1.
Here is a relaxed TcOsCl2 crystal from the Alexandria database. Energies are from PBE-GGA.

Calculated values
Calculated volume: 58.6 Å³/cell
VASP energy: -4.909 eV per atom
ΔE_f (raw): 136 kJ/mol of atoms
Total magnetization: 0.000 μB/f.u.

Lattice parameters (Å, degrees): 4.349 4.349 4.505 120.84 120.84 90.07
Fractional coordinates of all 4 atoms:
Os: 0.250 0.750 0.500
Tc: 0.750 0.250 0.500
Cl: 0.995 0.005 0.000
Cl: 0.505 0.495 0.000

=====

2.
Here is a relaxed TcOsCl2 crystal from the Alexandria database. Energies are from PBE-GGA.

Calculated values
Calculated volume: 71.3 Å³/cell
VASP energy: -6.139 eV per atom
ΔE_f (raw): 18 kJ/mol of atoms
Total magnetization: 0.000 μB/f.u.

Lattice parameters (Å, degrees): 9.572 9.572 9.572 17.77 17.77 17.77
Fractional coordinates of all 4 atoms:
Os: 0.492 0.492 0.492
Tc: 0.755 0.755 0.755
Cl: 0.023 0.023 0.023
Cl: 0.230 0.230 0.230